{
  "formula": "CePaInO6",
  "functional": "GGA-PBE",
  "state": "optimized geometry",
  "formation_energy_uncorrected_kj_per_mol_atoms": -276.3,
  "magnetic_moment_mub_per_fu": 0.00,
  "mass_density_g_cm3": 7.24,
  "lattice_angstrom": [[5.632, 0.000, 0.000], [-2.816, 4.878, 0.000], [0.000, 0.000, 9.712]],
  "species": ["O", "O", "O", "O", "O", "O", "O", "O", "O", "O", "O", "O", "In", "In", "Pa", "Pa", "Ce", "Ce"],
  "frac_coords": [[0.320, 0.328, 0.372], [0.328, 0.320, 0.872], [0.680, 0.672, 0.628], [0.992, 0.320, 0.628], [0.672, 0.680, 0.128], [0.328, 0.008, 0.628], [0.672, 0.992, 0.372], [0.992, 0.672, 0.872], [0.008, 0.680, 0.372], [0.320, 0.992, 0.128], [0.008, 0.328, 0.128], [0.680, 0.008, 0.872], [0.667, 0.333, 0.750], [0.333, 0.667, 0.250], [0.000, 0.000, 0.500], [0.000, 0.000, 0.000], [0.333, 0.667, 0.750], [0.667, 0.333, 0.250]]
}